# 1
A plane-wave DFT calculation with GGA-PBE was carried out for a geometry-optimized RbPrAu structure.

a = 7.3402 Å, b = 7.3402 Å, c = 7.3402 Å
α = 90.00°, β = 90.00°, γ = 90.00°
Space group F-43m (No. 216)
Inequivalent atoms, fractional coordinates:
Rb 0.0000 0.0000 0.0000 x4
Pr 0.2500 0.2500 0.7500 x4
Au 0.0000 0.0000 0.5000 x4

Results
Calculated density in Mg/m³: 7.11
E in eV per atom: -2.66

***

# 2
A plane-wave DFT calculation with GGA-PBE was carried out for a geometry-optimized Pr3Au4S structure.

a = 8.0126 Å, b = 8.0126 Å, c = 6.1809 Å
α = 90.00°, β = 90.00°, γ = 90.00°
Space group I-42m (No. 121)
Inequivalent atoms, fractional coordinates:
Pr 0.0000 0.0000 0.0000 x2
Pr 0.0000 0.5000 0.2500 x4
Au 0.2299 0.2299 0.4977 x8
S 0.0000 0.0000 0.5000 x2

Results
Calculated density in Mg/m³: 10.40
E in eV per atom: -4.58

***

# 3
A plane-wave DFT calculation with GGA-PBE was carried out for a geometry-optimized PrAuS2 structure.

a = 6.2130 Å, b = 7.2649 Å, c = 7.9649 Å
α = 90.00°, β = 90.10°, γ = 90.00°
Space group P2_1/c (No. 14)
Inequivalent atoms, fractional coordinates:
Pr 0.1621 0.0339 0.2500 x4
Au 0.4950 0.7489 0.9983 x4
S 0.0723 0.7495 0.9998 x4
S 0.3827 0.0983 0.7520 x4

Results
Calculated density in Mg/m³: 7.43
E in eV per atom: -5.34

***

# 4
A plane-wave DFT calculation with GGA-PBE was carried out for a geometry-optimized PrSnAuSeS2 structure.

a = 4.0646 Å, b = 13.4231 Å, c = 11.0119 Å
α = 90.00°, β = 90.00°, γ = 90.00°
Space group Cmcm (No. 63)
Inequivalent atoms, fractional coordinates:
Pr 0.0000 0.0000 0.0000 x4
Sn 0.0000 0.2229 0.2500 x4
Au 0.0000 0.4705 0.7500 x4
Se 0.0000 0.1035 0.7500 x4
S 0.0000 0.3579 0.5682 x8

Results
Calculated density in Mg/m³: 6.63
E in eV per atom: -4.85

***

# 5
A plane-wave DFT calculation with GGA-PBE was carried out for a geometry-optimized SrPrAuSeS2 structure.

a = 4.1159 Å, b = 13.8247 Å, c = 10.9190 Å
α = 90.00°, β = 90.00°, γ = 90.00°
Space group Cmcm (No. 63)
Inequivalent atoms, fractional coordinates:
Sr 0.0000 0.2316 0.2500 x4
Pr 0.0000 0.0000 0.0000 x4
Au 0.0000 0.4738 0.7500 x4
Se 0.0000 0.0994 0.7500 x4
S 0.0000 0.3620 0.5688 x8

Results
Calculated density in Mg/m³: 6.08
E in eV per atom: -5.09

***

# 6
A plane-wave DFT calculation with GGA-PBE was carried out for a geometry-optimized PrSnAuS3 structure.

a = 4.0342 Å, b = 13.1517 Å, c = 10.6910 Å
α = 90.00°, β = 90.00°, γ = 90.00°
Space group Cmcm (No. 63)
Inequivalent atoms, fractional coordinates:
Pr 0.0000 0.0000 0.0000 x4
Sn 0.0000 0.2405 0.2500 x4
Au 0.0000 0.4680 0.7500 x4
S 0.0000 0.0954 0.7500 x4
S 0.0000 0.3523 0.5654 x8

Results
Calculated density in Mg/m³: 6.47
E in eV per atom: -4.96

***

# 7
A plane-wave DFT calculation with GGA-PBE was carried out for a geometry-optimized SrPrTeAuS2 structure.

a = 4.1463 Å, b = 14.5981 Å, c = 11.2920 Å
α = 90.00°, β = 90.00°, γ = 90.00°
Space group Cmcm (No. 63)
Inequivalent atoms, fractional coordinates:
Sr 0.0000 0.2072 0.2500 x4
Pr 0.0000 0.0000 0.0000 x4
Te 0.0000 0.1116 0.7500 x4
Au 0.0000 0.4826 0.7500 x4
S 0.0000 0.3738 0.5757 x8

Results
Calculated density in Mg/m³: 6.00
E in eV per atom: -4.93

***

# 8
A plane-wave DFT calculation with GGA-PBE was carried out for a geometry-optimized PrSb2Au structure.

a = 4.4513 Å, b = 4.4513 Å, c = 10.3624 Å
α = 90.00°, β = 90.00°, γ = 90.00°
Space group P4/nmm (No. 129, origin choice 2)
Inequivalent atoms, fractional coordinates:
Pr 0.2500 0.2500 0.2455 x2
Sb 0.2500 0.2500 0.6783 x2
Sb 0.2500 0.7500 0.0000 x2
Au 0.2500 0.7500 0.5000 x2

Results
Calculated density in Mg/m³: 9.40
E in eV per atom: -4.79

***

# 9
A plane-wave DFT calculation with GGA-PBE was carried out for a geometry-optimized PrSc2Au2 structure.

a = 4.5821 Å, b = 4.5821 Å, c = 11.5581 Å
α = 90.00°, β = 90.00°, γ = 90.00°
Space group I4/mmm (No. 139)
Inequivalent atoms, fractional coordinates:
Pr 0.0000 0.0000 0.0000 x2
Sc 0.0000 0.5000 0.2500 x4
Au 0.0000 0.0000 0.3833 x4

Results
Calculated density in Mg/m³: 8.55
E in eV per atom: -5.39
Energy of formation in eV per atom: -0.6007

***

# 10
A plane-wave DFT calculation with GGA-PBE was carried out for a geometry-optimized Pr3AuSe6 structure.

a = 4.6727 Å, b = 7.1989 Å, c = 8.8314 Å
α = 92.38°, β = 102.32°, γ = 98.62°
Space group P-1 (No. 2)
Inequivalent atoms, fractional coordinates:
Pr 0.0000 0.0000 0.0000 x1
Pr 0.3605 0.4520 0.7216 x2
Au 0.0000 0.0000 0.5000 x1
Se 0.1277 0.3038 0.3760 x2
Se 0.1980 0.8248 0.3002 x2
Se 0.4407 0.7351 0.9862 x2

Results
Calculated density in Mg/m³: 6.35
E in eV per atom: -5.21

***

# 11
A plane-wave DFT calculation with GGA-PBE was carried out for a geometry-optimized PrSnAuSe3 structure.

a = 11.8130 Å, b = 4.2891 Å, c = 12.1181 Å
α = 90.00°, β = 90.00°, γ = 90.00°
Space group Pnma (No. 62)
Inequivalent atoms, fractional coordinates:
Pr 0.0251 0.2500 0.1927 x4
Sn 0.1938 0.2500 0.4825 x4
Au 0.2356 0.7500 0.2950 x4
Se 0.0300 0.7500 0.3707 x4
Se 0.0934 0.2500 0.9385 x4
Se 0.2150 0.7500 0.6699 x4

Results
Calculated density in Mg/m³: 7.50
E in eV per atom: -4.60
Energy above the lowest structure with this stoichiometry in meV per atom: 24.3

***

# 12
A plane-wave DFT calculation with GGA-PBE was carried out for a geometry-optimized PrSnAuSe3 structure.

a = 4.1233 Å, b = 13.9107 Å, c = 10.8672 Å
α = 90.00°, β = 90.00°, γ = 90.00°
Space group Cmcm (No. 63)
Inequivalent atoms, fractional coordinates:
Pr 0.0000 0.0000 0.0000 x4
Sn 0.0000 0.2324 0.2500 x4
Au 0.0000 0.4703 0.7500 x4
Se 0.0000 0.0968 0.7500 x4
Se 0.0000 0.3492 0.5634 x8

Results
Calculated density in Mg/m³: 7.39
E in eV per atom: -4.63
Energy above the lowest structure with this stoichiometry in meV per atom: 0.0

***

# 13
A plane-wave DFT calculation with GGA-PBE was carried out for a geometry-optimized PrSnTe2AuSe structure.

a = 4.2897 Å, b = 14.8384 Å, c = 10.8155 Å
α = 90.00°, β = 90.00°, γ = 90.00°
Space group Cmcm (No. 63)
Inequivalent atoms, fractional coordinates:
Pr 0.0000 0.0000 0.0000 x4
Sn 0.0000 0.2533 0.2500 x4
Te 0.0000 0.3442 0.5632 x8
Au 0.0000 0.4742 0.7500 x4
Se 0.0000 0.0893 0.7500 x4

Results
Calculated density in Mg/m³: 7.63
E in eV per atom: -4.37

***

# 14
A plane-wave DFT calculation with GGA-PBE was carried out for a geometry-optimized SrPrTe2AuSe structure.

a = 4.3180 Å, b = 14.9350 Å, c = 10.9747 Å
α = 90.00°, β = 90.00°, γ = 90.00°
Space group Cmcm (No. 63)
Inequivalent atoms, fractional coordinates:
Sr 0.0000 0.2366 0.2500 x4
Pr 0.0000 0.5000 0.0000 x4
Te 0.0000 0.1522 0.5611 x8
Au 0.0000 0.0281 0.7500 x4
Se 0.0000 0.4163 0.7500 x4

Results
Calculated density in Mg/m³: 7.13
E in eV per atom: -4.54

***

# 15
A plane-wave DFT calculation with GGA-PBE was carried out for a geometry-optimized SrPrTeAuSe2 structure.

a = 4.2032 Å, b = 14.7772 Å, c = 11.1902 Å
α = 90.00°, β = 90.00°, γ = 90.00°
Space group Cmcm (No. 63)
Inequivalent atoms, fractional coordinates:
Sr 0.0000 0.2182 0.2500 x4
Pr 0.0000 0.0000 0.0000 x4
Te 0.0000 0.1040 0.7500 x4
Au 0.0000 0.4769 0.7500 x4
Se 0.0000 0.3628 0.5669 x8

Results
Calculated density in Mg/m³: 6.79
E in eV per atom: -4.68

***

# 16
A plane-wave DFT calculation with GGA-PBE was carried out for a geometry-optimized PrTlAuSe3 structure.

a = 4.1097 Å, b = 14.6976 Å, c = 10.9747 Å
α = 90.00°, β = 90.00°, γ = 90.00°
Space group Cmcm (No. 63)
Inequivalent atoms, fractional coordinates:
Pr 0.0000 0.0000 0.0000 x4
Tl 0.0000 0.2420 0.2500 x4
Au 0.0000 0.4720 0.7500 x4
Se 0.0000 0.0855 0.7500 x4
Se 0.0000 0.3600 0.5632 x8

Results
Calculated density in Mg/m³: 7.81
E in eV per atom: -4.33

***

# 17
A plane-wave DFT calculation with GGA-PBE was carried out for a geometry-optimized PrSi2Au2 structure.

a = 4.3448 Å, b = 4.3448 Å, c = 10.3190 Å
α = 90.00°, β = 90.00°, γ = 90.00°
Space group I4/mmm (No. 139)
Inequivalent atoms, fractional coordinates:
Pr 0.0000 0.0000 0.0000 x2
Si 0.0000 0.0000 0.3862 x4
Au 0.0000 0.5000 0.2500 x4

Results
Calculated density in Mg/m³: 10.08
E in eV per atom: -5.05

***

# 18
A plane-wave DFT calculation with GGA-PBE was carried out for a geometry-optimized Pr4Si3Au structure.

a = 6.0304 Å, b = 4.1083 Å, c = 8.2343 Å
α = 90.00°, β = 90.50°, γ = 90.00°
Space group Pm (No. 6)
Inequivalent atoms, fractional coordinates:
Pr 0.0000 0.0000 0.0000 x1
Pr 0.2340 0.5000 0.6458 x1
Pr 0.4998 0.5000 0.1460 x1
Pr 0.7360 0.0000 0.5053 x1
Si 0.2338 0.0000 0.3585 x1
Si 0.4795 0.0000 0.8636 x1
Si 0.9994 0.5000 0.2890 x1
Au 0.7414 0.5000 0.7909 x1

Results
Calculated density in Mg/m³: 6.88
E in eV per atom: -5.54

***

# 19
A plane-wave DFT calculation with GGA-PBE was carried out for a geometry-optimized PrSi2Au2 structure.

a = 4.4409 Å, b = 4.4409 Å, c = 10.2208 Å
α = 90.00°, β = 90.00°, γ = 90.00°
Space group I4/mmm (No. 139)
Inequivalent atoms, fractional coordinates:
Pr 0.0000 0.0000 0.0000 x2
Si 0.0000 0.5000 0.2500 x4
Au 0.0000 0.0000 0.3647 x4

Results
Calculated density in Mg/m³: 9.74
E in eV per atom: -4.93

***

# 20
A plane-wave DFT calculation with GGA-PBE was carried out for a geometry-optimized Pr3Si4Au2 structure.

a = 11.2608 Å, b = 4.2695 Å, c = 8.4576 Å
α = 90.00°, β = 100.20°, γ = 90.00°
Space group C2/m (No. 12)
Inequivalent atoms, fractional coordinates:
Pr 0.0000 0.0000 0.0000 x2
Pr 0.1630 0.5000 0.6709 x4
Si 0.0545 0.0000 0.3922 x4
Si 0.2231 0.5000 0.0533 x4
Au 0.1131 0.5000 0.2801 x4

Results
Calculated density in Mg/m³: 7.71
E in eV per atom: -5.54